First-principles (PBE) data for La4PmPa3P8 after structural relaxation, as listed in the Alexandria database.

Cell and atoms, written as extended XYZ:
```
16
Lattice="8.227 0.000 0.000 0.000 8.281 0.032 -4.114 -4.110 5.821" Properties=species:S:1:pos:R:3 pbc="T T T"
La 4.114 0.000 0.000
La 0.000 0.000 0.000
P 4.114 4.029 2.845
P 2.110 2.164 0.112
P 0.000 4.009 2.906
Pm 0.000 4.140 0.016
Pa 2.057 2.085 2.926
P 2.003 2.007 5.741
P 6.117 2.164 0.112
Pa 4.114 4.140 0.016
La -2.057 -2.055 2.910
P 0.000 0.142 3.008
Pa -2.057 2.085 2.926
P -2.003 2.007 5.741
La 2.057 -2.055 2.910
P 4.114 0.162 2.947
```

Calculated values
spin magnetization: 0.000 μB/atom
energy of formation from the pure elements: -1.47 eV per atom

---

First-principles (PBE) data for Pm4SmLu after structural relaxation, as listed in the Alexandria database.

Cell and atoms, written as extended XYZ:
```
6
Lattice="6.652 0.000 0.000 3.326 5.761 0.000 3.326 1.920 5.431" Properties=species:S:1:pos:R:3 pbc="T T T"
Lu 0.000 0.000 0.000
Pm 4.982 4.805 3.397
Sm 3.326 1.920 1.358
Pm 6.652 3.840 0.670
Pm 8.322 4.805 3.397
Pm 6.652 1.912 3.397
```

Calculated values
spin magnetization: 0.000 μB/atom
energy of formation from the pure elements: 0.26 eV per atom

---

First-principles (PBE) data for BeTl2Se after structural relaxation, as listed in the Alexandria database.

Cell and atoms, written as extended XYZ:
```
4
Lattice="-4.056 1.956 2.679 -4.846 -0.345 -1.961 -3.491 -3.230 2.197" Properties=species:S:1:pos:R:3 pbc="T T T"
Tl -9.295 -1.214 2.186
Se -3.098 -0.405 0.729
Be -6.196 -0.810 1.458
Tl 0.000 0.000 0.000
```

Calculated values
formation energy without anion corrections: 2.057 eV/f.u.
spin magnetization: 0.000 μB/atom
energy above the lowest structure with this stoichiometry: 705 meV per atom

---

First-principles (PBE) data for Li2Os after structural relaxation, as listed in the Alexandria database.

Cell and atoms, written as extended XYZ:
```
6
Lattice="-1.256 -3.444 2.738 1.420 -3.325 2.805 -0.297 2.122 8.195" Properties=species:S:1:pos:R:3 pbc="T T T"
Li -0.074 0.478 2.120
Li -0.149 -2.766 10.977
Os -0.025 -3.482 7.276
Os -0.108 -1.165 6.462
Li -0.060 -5.126 11.618
Li 0.015 -1.882 2.761
```

Calculated values
spin magnetization: 0.000 μB/atom
energy of formation from the pure elements: 0.12 eV per atom